{
  "formula": "Sb4BrO6",
  "functional": "PBE",
  "state": "relaxed",
  "sg": "C2/m (12)",
  "rho_g_cm3": 4.985,
  "formation_energy_uncorrected_mev_per_atom": -1191,
  "lattice_angstrom": [[2.072, 9.817, 0.416], [-2.072, 9.817, 0.416], [0.000, 4.126, 11.032]],
  "species": ["Sb", "Sb", "Sb", "Sb", "Sb", "Sb", "Sb", "Sb", "Br", "Br", "O", "O", "O", "O", "O", "O", "O", "O", "O", "O", "O", "O"],
  "frac_coords": [[0.732, 0.732, 0.159], [0.268, 0.268, 0.841], [0.495, 0.495, 0.268], [0.505, 0.505, 0.732], [0.921, 0.921, 0.975], [0.079, 0.079, 0.025], [0.698, 0.698, 0.682], [0.302, 0.302, 0.318], [0.853, 0.853, 0.498], [0.147, 0.147, 0.502], [0.736, 0.736, 0.818], [0.264, 0.264, 0.182], [0.977, 0.977, 0.787], [0.023, 0.023, 0.213], [0.569, 0.569, 0.090], [0.431, 0.431, 0.910], [0.789, 0.789, 0.278], [0.211, 0.211, 0.722], [0.814, 0.814, 0.992], [0.186, 0.186, 0.008], [0.590, 0.590, 0.785], [0.410, 0.410, 0.215]]
}